The following is a GGA+U calculation of PrPuMnO6 after structural relaxation, from Alexandria.

```
data_PrPuMnO6
_cell_length_a 5.8566
_cell_length_b 5.8566
_cell_length_c 8.7842
_cell_angle_alpha 90.00
_cell_angle_beta 90.00
_cell_angle_gamma 120.00
_symmetry_space_group_name_H-M 'P -3 1 c'
_symmetry_Int_Tables_number 163
_symmetry_space_group_name_Hall '-P 3 2c'
loop_
_atom_site_label
_atom_site_type_symbol
_atom_site_fract_x
_atom_site_fract_y
_atom_site_fract_z
Pr1 Pr 0.3333 0.6667 0.2500
Pu1 Pu 0.3333 0.6667 0.7500
Mn1 Mn 0.0000 0.0000 0.0000
O1 O 0.0486 0.3671 0.6269
```

Total DFT energy (no corrections): -8.62 eV/atom